Compound: TiNb3S
Source: the Alexandria database
Functional: GGA-PBE
Structure: optimized geometry

abc: 9.6532 7.7039 6.1105
angles: 90.00 129.06 90.00
Space group C2/m (No. 12)
One atom of each set of equivalent atoms:
1 Ti 0.0552 0.0000 0.3301 (multiplicity 4)
2 Nb 0.0577 0.5000 0.2843 (multiplicity 4)
3 Nb 0.2430 0.3027 0.7673 (multiplicity 8)
4 S 0.2440 0.0000 0.8710 (multiplicity 4)

Calculated values
energy relative to the lowest polymorph listed for this composition = 0 meV per atom
uncorrected formation energy = -298 meV per atom
E_tot = -8.74 eV per atom

Compound: SrHf2H
Source: the Alexandria database
Functional: GGA-PBE
Structure: optimized geometry

abc: 9.1196 9.1196 9.1196
angles: 90.00 90.00 90.00
Space group Fd-3m (No. 227, origin choice 2)
One atom of each set of equivalent atoms:
1 Sr 0.1250 0.1250 0.1250 (multiplicity 8)
2 Hf 0.0000 0.0000 0.5000 (multiplicity 16)
3 H 0.1250 0.1250 0.6250 (multiplicity 8)

Calculated values
energy relative to the lowest polymorph listed for this composition = 0 meV per atom
E_tot = -6.01 eV per atom

Compound: Ho4Cu3Ni
Source: the Alexandria database
Functional: GGA-PBE
Structure: optimized geometry

abc: 3.7168 4.4050 10.1845
angles: 90.00 90.00 90.00
Space group Pmm2 (No. 25)
One atom of each set of equivalent atoms:
1 Ho 0.0000 0.0000 0.0000 (multiplicity 1)
2 Ho 0.0000 0.5000 0.2715 (multiplicity 1)
3 Ho 0.5000 0.0000 0.4864 (multiplicity 1)
4 Ho 0.5000 0.5000 0.7752 (multiplicity 1)
5 Cu 0.0000 0.0000 0.7046 (multiplicity 1)
6 Cu 0.0000 0.5000 0.5609 (multiplicity 1)
7 Cu 0.5000 0.5000 0.0620 (multiplicity 1)
8 Ni 0.5000 0.0000 0.2070 (multiplicity 1)

Calculated values
E_tot = -4.87 eV per atom
energy of formation = -326.2 meV/atom

Compound: Cd2AgAs
Source: the Alexandria database
Functional: GGA-PBE
Structure: optimized geometry

abc: 3.1132 5.2828 5.1040
angles: 90.00 93.14 90.00
Space group P2/m (No. 10)
One atom of each set of equivalent atoms:
1 Cd 0.2391 0.0000 0.2534 (multiplicity 2)
2 Ag 0.5000 0.5000 0.5000 (multiplicity 1)
3 As 0.0000 0.5000 0.0000 (multiplicity 1)

Calculated values
E_tot = -2.22 eV per atom
energy of formation = 110.2 meV/atom